No. 1
VASP calculation (PBE-GGA) on a relaxed structure of LaHoNiRu.

* crystal system: cubic
* M_tot: 0.00 μB per formula unit
* space group: F-43m, No. 216
* Fermi-level density of states: 4.03 states/eV per cell
* total DFT energy (no corrections): -6.412 eV/atom

The structure in CIF format:
```
data_LaHoNiRu
_chemical_formula_sum 'La1 Ho1 Ni1 Ru1'
_symmetry_space_group_name_H-M 'P 1'
_symmetry_Int_Tables_number 1
_cell_length_a 4.906
_cell_length_b 4.906
_cell_length_c 4.906
_cell_angle_alpha 60.00
_cell_angle_beta 60.00
_cell_angle_gamma 60.00
loop_
_symmetry_equiv_pos_as_xyz
'x,y,z'
loop_
_atom_site_label
_atom_site_type_symbol
_atom_site_fract_x
_atom_site_fract_y
_atom_site_fract_z
La1 La 0.250 0.250 0.250
Ho1 Ho 0.750 0.750 0.750
Ni1 Ni 0.500 0.500 0.500
Ru1 Ru 0.000 0.000 0.000
```

---

No. 2
VASP calculation (PBE-GGA) on a relaxed structure of La2HoNiS5.

* formation energy (no corrections): -16.42 eV per formula unit
* crystal system: orthorhombic
* M_tot: 0.00 μB per formula unit
* space group: Cmc2_1, No. 36
* Fermi-level density of states: 8.32 states/eV per cell

The structure in CIF format:
```
data_La2HoNiS5
_chemical_formula_sum 'La4 Ho2 Ni2 S10'
_symmetry_space_group_name_H-M 'P 1'
_symmetry_Int_Tables_number 1
_cell_length_a 3.887
_cell_length_b 8.573
_cell_length_c 12.033
_cell_angle_alpha 90.00
_cell_angle_beta 90.00
_cell_angle_gamma 103.10
loop_
_symmetry_equiv_pos_as_xyz
'x,y,z'
loop_
_atom_site_label
_atom_site_type_symbol
_atom_site_fract_x
_atom_site_fract_y
_atom_site_fract_z
Ni1 Ni 0.447 0.895 0.423
Ni2 Ni 0.553 0.105 0.923
La1 La 0.884 0.769 0.846
La2 La 0.879 0.759 0.196
La3 La 0.121 0.241 0.696
La4 La 0.116 0.231 0.346
S1 S 0.341 0.683 0.020
S2 S 0.018 0.035 0.009
S3 S 0.686 0.372 0.865
S4 S 0.659 0.317 0.520
S5 S 0.305 0.610 0.685
S6 S 0.982 0.965 0.509
S7 S 0.695 0.390 0.185
S8 S 0.501 0.002 0.254
S9 S 0.499 0.998 0.754
S10 S 0.314 0.628 0.365
Ho1 Ho 0.822 0.644 0.525
Ho2 Ho 0.178 0.356 0.025
```

---

No. 3
VASP calculation (PBE-GGA) on a relaxed structure of La2HoSi3Ni12.

* formation energy (no corrections): -3.43 eV per formula unit
* crystal system: trigonal
* M_tot: 0.00 μB per formula unit
* space group: R-3m, No. 166
* Fermi-level density of states: 10.38 states/eV per cell

The structure in CIF format:
```
data_La2HoSi3Ni12
_chemical_formula_sum 'La2 Ho1 Si3 Ni12'
_symmetry_space_group_name_H-M 'P 1'
_symmetry_Int_Tables_number 1
_cell_length_a 6.383
_cell_length_b 6.383
_cell_length_c 6.383
_cell_angle_alpha 85.08
_cell_angle_beta 85.08
_cell_angle_gamma 85.08
loop_
_symmetry_equiv_pos_as_xyz
'x,y,z'
loop_
_atom_site_label
_atom_site_type_symbol
_atom_site_fract_x
_atom_site_fract_y
_atom_site_fract_z
Ni1 Ni 0.624 0.624 0.079
Ni2 Ni 0.376 0.921 0.376
Ni3 Ni 0.193 0.687 0.193
Ni4 Ni 0.807 0.313 0.807
Ni5 Ni 0.807 0.807 0.313
Ni6 Ni 0.687 0.193 0.193
Ni7 Ni 0.624 0.079 0.624
Ni8 Ni 0.079 0.624 0.624
Ni9 Ni 0.921 0.376 0.376
Ni10 Ni 0.376 0.376 0.921
Ni11 Ni 0.313 0.807 0.807
Ni12 Ni 0.193 0.193 0.687
La1 La 0.640 0.640 0.640
La2 La 0.360 0.360 0.360
Si1 Si 0.500 0.000 0.000
Si2 Si 0.000 0.000 0.500
Si3 Si 0.000 0.500 0.000
Ho1 Ho 0.000 0.000 0.000
```

---

No. 4
VASP calculation (PBE-GGA) on a relaxed structure of LaHoSi2Ni2.

* formation energy (no corrections): -4.54 eV per formula unit
* crystal system: trigonal
* M_tot: 0.00 μB per formula unit
* space group: P-3m1, No. 164
* Fermi-level density of states: 5.35 states/eV per cell

The structure in CIF format:
```
data_LaHoSi2Ni2
_chemical_formula_sum 'La1 Ho1 Si2 Ni2'
_symmetry_space_group_name_H-M 'P 1'
_symmetry_Int_Tables_number 1
_cell_length_a 4.021
_cell_length_b 4.021
_cell_length_c 8.230
_cell_angle_alpha 90.00
_cell_angle_beta 90.00
_cell_angle_gamma 120.00
loop_
_symmetry_equiv_pos_as_xyz
'x,y,z'
loop_
_atom_site_label
_atom_site_type_symbol
_atom_site_fract_x
_atom_site_fract_y
_atom_site_fract_z
La1 La 0.000 0.000 0.000
Ni1 Ni 0.667 0.333 0.270
Ni2 Ni 0.333 0.667 0.730
Si1 Si 0.667 0.333 0.736
Si2 Si 0.333 0.667 0.264
Ho1 Ho 0.000 0.000 0.500
```

---

No. 5
VASP calculation (PBE-GGA) on a relaxed structure of LaHoZnNi.

* crystal system: cubic
* M_tot: 0.00 μB per formula unit
* space group: F-43m, No. 216
* Fermi-level density of states: 3.58 states/eV per cell
* total DFT energy (no corrections): -4.415 eV/atom

The structure in CIF format:
```
data_LaHoZnNi
_chemical_formula_sum 'La1 Ho1 Zn1 Ni1'
_symmetry_space_group_name_H-M 'P 1'
_symmetry_Int_Tables_number 1
_cell_length_a 5.042
_cell_length_b 5.042
_cell_length_c 5.042
_cell_angle_alpha 60.00
_cell_angle_beta 60.00
_cell_angle_gamma 60.00
loop_
_symmetry_equiv_pos_as_xyz
'x,y,z'
loop_
_atom_site_label
_atom_site_type_symbol
_atom_site_fract_x
_atom_site_fract_y
_atom_site_fract_z
Ho1 Ho 0.000 0.000 0.000
Ni1 Ni 0.250 0.250 0.250
La1 La 0.500 0.500 0.500
Zn1 Zn 0.750 0.750 0.750
```

---

No. 6
VASP calculation (PBE-GGA) on a relaxed structure of LaHoO3.

* formation energy (no corrections): -15.74 eV per formula unit
* crystal system: orthorhombic
* M_tot: 0.00 μB per formula unit
* space group: Cmmm, No. 65
* Fermi-level density of states: 0.00 states/eV per cell

The structure in CIF format:
```
data_LaHoO3
_chemical_formula_sum 'La2 Ho2 O6'
_symmetry_space_group_name_H-M 'P 1'
_symmetry_Int_Tables_number 1
_cell_length_a 4.151
_cell_length_b 5.992
_cell_length_c 7.121
_cell_angle_alpha 114.88
_cell_angle_beta 90.00
_cell_angle_gamma 90.00
loop_
_symmetry_equiv_pos_as_xyz
'x,y,z'
loop_
_atom_site_label
_atom_site_type_symbol
_atom_site_fract_x
_atom_site_fract_y
_atom_site_fract_z
La1 La 0.000 0.340 0.680
La2 La 0.000 0.660 0.320
Ho1 Ho 0.500 0.120 0.240
Ho2 Ho 0.500 0.880 0.760
O1 O 0.000 0.168 0.337
O2 O 0.500 0.735 0.000
O3 O 0.000 0.832 0.663
O4 O 0.500 0.000 0.500
O5 O 0.500 0.500 0.500
O6 O 0.500 0.265 0.000
```

---

No. 7
VASP calculation (PBE-GGA) on a relaxed structure of LaHo3O.

* formation energy (no corrections): -5.17 eV per formula unit
* crystal system: cubic
* M_tot: 0.00 μB per formula unit
* space group: Pm-3m, No. 221
* Fermi-level density of states: 8.63 states/eV per cell

The structure in CIF format:
```
data_LaHo3O
_chemical_formula_sum 'La1 Ho3 O1'
_symmetry_space_group_name_H-M 'P 1'
_symmetry_Int_Tables_number 1
_cell_length_a 4.972
_cell_length_b 4.972
_cell_length_c 4.972
_cell_angle_alpha 90.00
_cell_angle_beta 90.00
_cell_angle_gamma 90.00
loop_
_symmetry_equiv_pos_as_xyz
'x,y,z'
loop_
_atom_site_label
_atom_site_type_symbol
_atom_site_fract_x
_atom_site_fract_y
_atom_site_fract_z
Ho1 Ho 0.000 0.500 0.000
Ho2 Ho 0.500 0.000 0.000
Ho3 Ho 0.000 0.000 0.500
O1 O 0.000 0.000 0.000
La1 La 0.500 0.500 0.500
```

---

No. 8
VASP calculation (PBE-GGA) on a relaxed structure of LaHoO2.

* formation energy (no corrections): -11.63 eV per formula unit
* crystal system: trigonal
* M_tot: 0.00 μB per formula unit
* space group: R-3m, No. 166
* distance to the lowest polymorph of the same formula: 0.00 eV/f.u.
* Fermi-level density of states: 0.81 states/eV per cell

The structure in CIF format:
```
data_LaHoO2
_chemical_formula_sum 'La1 Ho1 O2'
_symmetry_space_group_name_H-M 'P 1'
_symmetry_Int_Tables_number 1
_cell_length_a 3.466
_cell_length_b 3.466
_cell_length_c 6.312
_cell_angle_alpha 74.07
_cell_angle_beta 74.07
_cell_angle_gamma 60.00
loop_
_symmetry_equiv_pos_as_xyz
'x,y,z'
loop_
_atom_site_label
_atom_site_type_symbol
_atom_site_fract_x
_atom_site_fract_y
_atom_site_fract_z
O1 O 0.232 0.232 0.303
O2 O 0.768 0.768 0.697
La1 La 0.000 0.000 0.000
Ho1 Ho 0.500 0.500 0.500
```

---

No. 9
VASP calculation (PBE-GGA) on a relaxed structure of LaHo2O.

* formation energy (no corrections): -4.93 eV per formula unit
* crystal system: trigonal
* M_tot: 0.00 μB per formula unit
* space group: R-3m, No. 166
* distance to the lowest polymorph of the same formula: 0.00 eV/f.u.
* Fermi-level density of states: 4.46 states/eV per cell

The structure in CIF format:
```
data_LaHo2O
_chemical_formula_sum 'La1 Ho2 O1'
_symmetry_space_group_name_H-M 'P 1'
_symmetry_Int_Tables_number 1
_cell_length_a 3.460
_cell_length_b 3.460
_cell_length_c 9.706
_cell_angle_alpha 79.73
_cell_angle_beta 79.73
_cell_angle_gamma 60.00
loop_
_symmetry_equiv_pos_as_xyz
'x,y,z'
loop_
_atom_site_label
_atom_site_type_symbol
_atom_site_fract_x
_atom_site_fract_y
_atom_site_fract_z
Ho1 Ho 0.120 0.120 0.639
Ho2 Ho 0.880 0.880 0.361
O1 O 0.500 0.500 0.500
La1 La 0.000 0.000 0.000
```

---

No. 10
VASP calculation (PBE-GGA) on a relaxed structure of LaHoO3.

* formation energy (no corrections): -17.31 eV per formula unit
* crystal system: monoclinic
* M_tot: 0.00 μB per formula unit
* space group: P2_1/m, No. 11
* Fermi-level density of states: 0.00 states/eV per cell

The structure in CIF format:
```
data_LaHoO3
_chemical_formula_sum 'La2 Ho2 O6'
_symmetry_space_group_name_H-M 'P 1'
_symmetry_Int_Tables_number 1
_cell_length_a 3.963
_cell_length_b 5.838
_cell_length_c 9.133
_cell_angle_alpha 117.12
_cell_angle_beta 90.00
_cell_angle_gamma 90.00
loop_
_symmetry_equiv_pos_as_xyz
'x,y,z'
loop_
_atom_site_label
_atom_site_type_symbol
_atom_site_fract_x
_atom_site_fract_y
_atom_site_fract_z
Ho1 Ho 0.750 0.834 0.168
Ho2 Ho 0.250 0.702 0.832
O1 O 0.750 0.205 0.381
O2 O 0.250 0.331 0.619
O3 O 0.750 0.678 0.342
O4 O 0.750 0.587 0.886
O5 O 0.250 0.858 0.658
O6 O 0.250 0.949 0.114
La1 La 0.250 0.438 0.393
La2 La 0.750 0.098 0.607
```

---

What did the second record say?
VASP calculation (PBE-GGA) on a relaxed structure of La2HoNiS5.

* formation energy (no corrections): -16.42 eV per formula unit
* crystal system: orthorhombic
* M_tot: 0.00 μB per formula unit
* space group: Cmc2_1, No. 36
* Fermi-level density of states: 8.32 states/eV per cell

The structure in CIF format:
```
data_La2HoNiS5
_chemical_formula_sum 'La4 Ho2 Ni2 S10'
_symmetry_space_group_name_H-M 'P 1'
_symmetry_Int_Tables_number 1
_cell_length_a 3.887
_cell_length_b 8.573
_cell_length_c 12.033
_cell_angle_alpha 90.00
_cell_angle_beta 90.00
_cell_angle_gamma 103.10
loop_
_symmetry_equiv_pos_as_xyz
'x,y,z'
loop_
_atom_site_label
_atom_site_type_symbol
_atom_site_fract_x
_atom_site_fract_y
_atom_site_fract_z
Ni1 Ni 0.447 0.895 0.423
Ni2 Ni 0.553 0.105 0.923
La1 La 0.884 0.769 0.846
La2 La 0.879 0.759 0.196
La3 La 0.121 0.241 0.696
La4 La 0.116 0.231 0.346
S1 S 0.341 0.683 0.020
S2 S 0.018 0.035 0.009
S3 S 0.686 0.372 0.865
S4 S 0.659 0.317 0.520
S5 S 0.305 0.610 0.685
S6 S 0.982 0.965 0.509
S7 S 0.695 0.390 0.185
S8 S 0.501 0.002 0.254
S9 S 0.499 0.998 0.754
S10 S 0.314 0.628 0.365
Ho1 Ho 0.822 0.644 0.525
Ho2 Ho 0.178 0.356 0.025
```